Compound: La2CePuN5
Source: the Alexandria database
Functional: PBE-GGA
Structure: relaxed

Calculated values
The raw formation energy comes out at -1.18 eV/atom. Its space-group type is Cmc2_1, No. 36. For the uncorrected energy, the calculation gives -0.3364 hartree per atom.

```
La2CePuN5
1.0
1.920 -6.621 0.000
1.920 6.621 0.000
0.000 0.000 11.840
La Ce Pu N
4 2 2 10
Cartesian
1.920 5.375 5.920 La
1.920 4.491 0.447 La
1.920 -4.491 6.367 La
1.920 -5.375 0.000 La
1.920 3.133 9.294 Ce
1.920 -3.133 3.374 Ce
1.920 0.464 3.176 Pu
1.920 -0.464 9.096 Pu
1.920 5.580 10.002 N
1.920 3.362 4.838 N
1.920 2.272 1.872 N
1.920 1.291 7.654 N
1.920 1.078 10.409 N
1.920 -1.078 4.489 N
1.920 -1.291 1.734 N
1.920 -2.272 7.792 N
1.920 -3.362 10.758 N
1.920 -5.580 4.082 N
```